Entry 1:
Li2MnSi2O6 (GGA+U, relaxed); space group = Fdd2 (43)
1.0
-5.270 5.026 -0.164
-1.304 -1.703 -10.288
-4.374 -4.457 3.945
Si Mn O Li
8 4 24 8
Direct
0.538 0.332 0.234
0.038 0.332 0.734
0.788 0.167 0.401
0.288 0.167 0.901
0.288 0.832 0.099
0.037 0.667 0.266
0.788 0.832 0.599
0.537 0.667 0.766
0.966 0.000 0.000
0.466 0.000 0.500
0.216 0.500 0.500
0.716 0.500 0.000
0.989 0.775 0.491
0.239 0.724 0.215
0.131 0.826 0.938
0.067 0.517 0.275
0.739 0.724 0.715
0.631 0.173 0.562
0.381 0.673 0.612
0.739 0.275 0.285
0.817 0.017 0.242
0.489 0.224 0.010
0.489 0.775 0.991
0.881 0.326 0.888
0.989 0.224 0.510
0.317 0.982 0.258
0.317 0.017 0.742
0.817 0.982 0.758
0.567 0.482 0.225
0.381 0.326 0.388
0.239 0.275 0.785
0.631 0.826 0.438
0.067 0.482 0.725
0.131 0.173 0.062
0.567 0.517 0.775
0.881 0.673 0.112
0.970 0.664 0.853
0.220 0.164 0.311
0.970 0.335 0.147
0.720 0.164 0.811
0.470 0.335 0.647
0.720 0.835 0.189
0.220 0.835 0.689
0.470 0.664 0.353

Entry 2:
Li3Mn2Si2O8 (GGA+U, relaxed); space group = P2_1 (4)
1.0
-7.763 -3.950 6.441
3.552 -3.107 2.376
1.247 4.494 4.259
Li Mn O Si
6 4 16 4
Direct
0.329 0.955 0.764
0.828 0.032 0.752
0.328 0.968 0.248
0.829 0.045 0.236
0.167 0.458 0.241
0.667 0.542 0.759
0.580 0.926 0.026
0.080 0.074 0.974
0.917 0.438 0.484
0.417 0.562 0.516
0.437 0.937 0.501
0.156 0.066 0.277
0.568 0.533 0.015
0.859 0.430 0.201
0.911 0.873 0.994
0.160 0.006 0.695
0.359 0.570 0.799
0.062 0.640 0.449
0.851 0.455 0.774
0.351 0.545 0.226
0.937 0.063 0.499
0.656 0.934 0.723
0.411 0.127 0.006
0.562 0.360 0.551
0.068 0.467 0.985
0.660 0.994 0.305
0.426 0.437 0.011
0.081 0.947 0.484
0.581 0.053 0.516
0.926 0.563 0.989

Entry 3:
Li2MnSi2O6 (GGA+U, relaxed); space group = C2 (5)
1.0
5.398 5.358 -0.032
-5.398 5.358 -0.032
0.000 2.421 4.566
O Si Li Mn
12 4 4 2
Direct
0.732 0.639 0.705
0.422 0.787 0.661
0.011 0.750 0.859
0.290 0.350 0.798
0.780 0.984 0.324
0.361 0.268 0.295
0.828 0.408 0.136
0.250 0.989 0.141
0.650 0.710 0.202
0.016 0.220 0.676
0.213 0.578 0.339
0.592 0.172 0.864
0.218 0.362 0.519
0.377 0.193 0.023
0.807 0.623 0.977
0.638 0.782 0.481
0.209 0.580 0.957
0.420 0.791 0.043
0.211 0.789 0.500
0.774 0.226 0.000
0.806 0.194 0.500
0.035 0.965 0.000

Entry 4:
LiSm2MnO6 (GGA+U, relaxed); space group = P2_1/c (14)
1.0
5.326 0.000 0.025
0.000 5.747 0.000
0.085 0.000 7.566
O Sm Li Mn
12 4 2 2
Direct
0.095 0.472 0.757
0.323 0.714 0.449
0.796 0.818 0.546
0.595 0.028 0.257
0.177 0.214 0.051
0.905 0.528 0.243
0.823 0.786 0.949
0.704 0.318 0.954
0.677 0.286 0.551
0.296 0.682 0.046
0.405 0.972 0.743
0.204 0.182 0.454
0.019 0.923 0.251
0.981 0.077 0.749
0.481 0.423 0.249
0.519 0.577 0.751
0.000 0.500 0.500
0.500 0.000 0.000
0.500 0.000 0.500
0.000 0.500 0.000

Per-record final energy, eV per atom: -7.173 -6.966 -7.133 -7.292